DFT (PBE) results for Nd4CoAuCl2 after structural relaxation.

Computed properties:
The calculation puts the energy at -5.0863 eV/atom. As for the uncorrected formation energy: -7.54 eV per formula unit. Its spin magnetization is 0.0 μB/f.u.

```
data_Nd4CoAuCl2
_symmetry_space_group_name_H-M 'P 1 2/m 1'
_symmetry_Int_Tables_number 10
_symmetry_space_group_name_Hall '-P 2y'
_cell_length_a 7.334
_cell_length_b 4.077
_cell_length_c 7.843
_cell_angle_alpha 90.00
_cell_angle_beta 108.46
_cell_angle_gamma 90.00
loop_
_atom_site_label
_atom_site_type_symbol
_atom_site_fract_x
_atom_site_fract_y
_atom_site_fract_z
Nd1 Nd 0.222 0.000 0.289
Nd2 Nd 0.229 0.500 0.707
Co1 Co 0.000 0.000 0.500
Au1 Au 0.500 0.500 0.500
Cl1 Cl 0.000 0.500 0.000
Cl2 Cl 0.500 0.000 0.000
```

DFT (PBE) results for CoP2AuCl after structural relaxation.

Computed properties:
The calculation puts the energy at -3.3208 eV/atom. As for the uncorrected formation energy: 6.45 eV per formula unit. The energy relative to the lowest polymorph listed for this composition comes out at 0.796 eV per atom. Its spin magnetization is 3.5 μB/f.u.

```
data_CoP2AuCl
_symmetry_space_group_name_H-M 'P 4/m m m'
_symmetry_Int_Tables_number 123
_symmetry_space_group_name_Hall '-P 4 2'
_cell_length_a 4.780
_cell_length_b 4.780
_cell_length_c 5.174
_cell_angle_alpha 90.00
_cell_angle_beta 90.00
_cell_angle_gamma 90.00
loop_
_atom_site_label
_atom_site_type_symbol
_atom_site_fract_x
_atom_site_fract_y
_atom_site_fract_z
Co1 Co 0.000 0.000 0.000
P1 P 0.000 0.500 0.500
Au1 Au 0.500 0.500 0.500
Cl1 Cl 0.500 0.500 0.000
```

DFT (PBE) results for CoP2AuCl after structural relaxation.

Computed properties:
The calculation puts the energy at -4.1165 eV/atom. As for the uncorrected formation energy: 2.47 eV per formula unit. The energy relative to the lowest polymorph listed for this composition comes out at 0.000 eV per atom. Its spin magnetization is 0.0 μB/f.u.

```
data_CoP2AuCl
_symmetry_space_group_name_H-M 'P 4/m m m'
_symmetry_Int_Tables_number 123
_symmetry_space_group_name_Hall '-P 4 2'
_cell_length_a 4.316
_cell_length_b 4.316
_cell_length_c 4.845
_cell_angle_alpha 90.00
_cell_angle_beta 90.00
_cell_angle_gamma 90.00
loop_
_atom_site_label
_atom_site_type_symbol
_atom_site_fract_x
_atom_site_fract_y
_atom_site_fract_z
Co1 Co 0.000 0.000 0.000
P1 P 0.000 0.500 0.000
Au1 Au 0.500 0.500 0.500
Cl1 Cl 0.000 0.000 0.500
```

DFT (PBE) results for Pm4CoAuCl2 after structural relaxation.

Computed properties:
The calculation puts the energy at -5.0846 eV/atom. As for the uncorrected formation energy: -7.60 eV per formula unit. Its spin magnetization is 0.0 μB/f.u.

```
data_Pm4CoAuCl2
_symmetry_space_group_name_H-M 'P 1 2/m 1'
_symmetry_Int_Tables_number 10
_symmetry_space_group_name_Hall '-P 2y'
_cell_length_a 7.290
_cell_length_b 4.038
_cell_length_c 7.798
_cell_angle_alpha 90.00
_cell_angle_beta 108.62
_cell_angle_gamma 90.00
loop_
_atom_site_label
_atom_site_type_symbol
_atom_site_fract_x
_atom_site_fract_y
_atom_site_fract_z
Pm1 Pm 0.221 0.000 0.289
Pm2 Pm 0.229 0.500 0.706
Co1 Co 0.000 0.000 0.500
Au1 Au 0.500 0.500 0.500
Cl1 Cl 0.000 0.500 0.000
Cl2 Cl 0.500 0.000 0.000
```

DFT (PBE) results for Pr3CoAuCl after structural relaxation.

Computed properties:
The calculation puts the energy at -5.1401 eV/atom. As for the uncorrected formation energy: -4.27 eV per formula unit. Its spin magnetization is 0.7 μB/f.u.

```
data_Pr3CoAuCl
_symmetry_space_group_name_H-M 'P 1 21/m 1'
_symmetry_Int_Tables_number 11
_symmetry_space_group_name_Hall '-P 2yb'
_cell_length_a 7.960
_cell_length_b 3.977
_cell_length_c 11.000
_cell_angle_alpha 90.00
_cell_angle_beta 108.64
_cell_angle_gamma 90.00
loop_
_atom_site_label
_atom_site_type_symbol
_atom_site_fract_x
_atom_site_fract_y
_atom_site_fract_z
Pr1 Pr 0.197 0.250 0.462
Pr2 Pr 0.232 0.250 0.097
Pr3 Pr 0.255 0.750 0.790
Co1 Co 0.483 0.750 0.036
Au1 Au 0.044 0.750 0.235
Cl1 Cl 0.470 0.750 0.620
```

DFT (PBE) results for Pr4CoAuCl2 after structural relaxation.

Computed properties:
The calculation puts the energy at -5.0868 eV/atom. As for the uncorrected formation energy: -7.50 eV per formula unit. Its spin magnetization is 0.0 μB/f.u.

```
data_Pr4CoAuCl2
_symmetry_space_group_name_H-M 'P 1 2/m 1'
_symmetry_Int_Tables_number 10
_symmetry_space_group_name_Hall '-P 2y'
_cell_length_a 7.379
_cell_length_b 4.116
_cell_length_c 7.878
_cell_angle_alpha 90.00
_cell_angle_beta 108.22
_cell_angle_gamma 90.00
loop_
_atom_site_label
_atom_site_type_symbol
_atom_site_fract_x
_atom_site_fract_y
_atom_site_fract_z
Pr1 Pr 0.223 0.000 0.289
Pr2 Pr 0.229 0.500 0.708
Co1 Co 0.000 0.000 0.500
Au1 Au 0.500 0.500 0.500
Cl1 Cl 0.000 0.500 0.000
Cl2 Cl 0.500 0.000 0.000
```

DFT (PBE) results for RbCoAuCl6 after structural relaxation.

Computed properties:
The calculation puts the energy at -3.2058 eV/atom. As for the uncorrected formation energy: -6.42 eV per formula unit. Its spin magnetization is 1.0 μB/f.u.

```
data_RbCoAuCl6
_symmetry_space_group_name_H-M 'P 1'
_symmetry_Int_Tables_number 1
_symmetry_space_group_name_Hall 'P 1'
_cell_length_a 6.395
_cell_length_b 6.403
_cell_length_c 7.148
_cell_angle_alpha 91.79
_cell_angle_beta 92.02
_cell_angle_gamma 114.70
loop_
_atom_site_label
_atom_site_type_symbol
_atom_site_fract_x
_atom_site_fract_y
_atom_site_fract_z
Rb1 Rb 0.000 0.000 0.000
Co1 Co 0.645 0.354 0.499
Au1 Au 0.309 0.692 0.500
Cl1 Cl 0.364 0.068 0.647
Cl2 Cl 0.374 0.398 0.304
Cl3 Cl 0.603 0.624 0.696
Cl4 Cl 0.658 0.093 0.292
Cl5 Cl 0.907 0.338 0.705
Cl6 Cl 0.931 0.635 0.352
```

DFT (PBE) results for RbCoAu2Cl after structural relaxation.

Computed properties:
The calculation puts the energy at -2.0173 eV/atom. As for the uncorrected formation energy: 6.39 eV per formula unit. Its spin magnetization is 2.8 μB/f.u.

```
data_RbCoAu2Cl
_symmetry_space_group_name_H-M 'P 4/m m m'
_symmetry_Int_Tables_number 123
_symmetry_space_group_name_Hall '-P 4 2'
_cell_length_a 5.950
_cell_length_b 5.950
_cell_length_c 5.752
_cell_angle_alpha 90.00
_cell_angle_beta 90.00
_cell_angle_gamma 90.00
loop_
_atom_site_label
_atom_site_type_symbol
_atom_site_fract_x
_atom_site_fract_y
_atom_site_fract_z
Rb1 Rb 0.000 0.000 0.000
Co1 Co 0.500 0.500 0.500
Au1 Au 0.000 0.500 0.000
Cl1 Cl 0.000 0.000 0.500
```